[1]
RbSnCl2O | PBE-GGA | optimized geometry

Lattice parameters (Å, degrees): 5.6312 5.6312 4.1111 90.00 90.00 90.00
With the nearest neighbours (Å) after each atom.
Space group P4/mmm (No. 123)
Asymmetric unit:
Rb1 0.0000 0.0000 0.0000 (multiplicity 1)  8 Cl 3.49
Sn1 0.5000 0.5000 0.5000 (multiplicity 1)  2 O 2.06
Cl1 0.0000 0.5000 0.5000 (multiplicity 2)  2 Sn 2.82
O1 0.5000 0.5000 0.0000 (multiplicity 1)  2 Sn 2.06

Computed properties:
- Electronic total energy: -20.4 eV/cell

=====

[2]
RbSrClO | PBE-GGA | optimized geometry

Lattice parameters (Å, degrees): 3.8645 3.8645 23.3515 90.00 90.00 120.00
With the nearest neighbours (Å) after each atom.
Space group R3m (No. 160, hexagonal axes)
Asymmetric unit:
Rb1 0.0000 0.0000 0.0000 (multiplicity 3)  3 O 3.10, 1 Sr 3.22, 3 Cl 3.23
Sr1 0.0000 0.0000 0.1379 (multiplicity 3)  3 O 2.48
Cl1 0.0000 0.0000 0.5666 (multiplicity 3)  3 Sr 3.15, 3 Rb 3.23, 1 O 3.30
O1 0.0000 0.0000 0.4252 (multiplicity 3)  3 Sr 2.48

Computed properties:
- Electronic total energy: -53.1 eV/cell

=====

[3]
RbTaClO3 | PBE-GGA | optimized geometry

Lattice parameters (Å, degrees): 8.7083 11.9457 5.6726 90.00 107.86 90.00
With the nearest neighbours (Å) after each atom.
Space group C2/c (No. 15)
Asymmetric unit:
Rb1 0.0000 0.2037 0.2500 (multiplicity 4)  2 O 3.05, 2 Cl 3.09
Ta1 0.0000 0.4515 0.7500 (multiplicity 4)  5 O 1.84-2.05
Cl1 0.0000 0.1018 0.7500 (multiplicity 4)  1 O 2.34
O1 0.0000 0.2976 0.7500 (multiplicity 4)  1 Ta 1.84
O2 0.1411 0.4647 0.5214 (multiplicity 8)  2 Ta 1.93-2.05

Computed properties:
- Electronic total energy: -164.5 eV/cell

=====

[4]
Rb5TcCl2O4 | PBE-GGA | optimized geometry

Lattice parameters (Å, degrees): 8.8348 10.5790 7.0155 90.00 90.00 90.00
With the nearest neighbours (Å) after each atom.
Space group Amm2 (No. 38)
Asymmetric unit:
Rb1 0.0000 0.0000 0.0000 (multiplicity 2)  2 O 2.98, 4 Cl 3.18-3.34
Rb2 0.2934 0.1837 0.4068 (multiplicity 8)  3 O 2.83-3.08
Tc1 0.5000 0.0000 0.9184 (multiplicity 2)  4 O 1.86-1.87
Cl1 0.0000 0.2052 0.6691 (multiplicity 4)  6 Rb 3.18-3.34
O1 0.3320 0.0000 0.0776 (multiplicity 4)  1 Tc 1.86
O2 0.5000 0.1390 0.7531 (multiplicity 4)  1 Tc 1.87

Computed properties:
- Electronic total energy: -116.2 eV/cell

=====

Question: electronic total energy of number 3 (RbTaClO3)?
Answer: -164.5 eV/cell

=====

Question: Which formula does entry 4 have?
Answer: Rb5TcCl2O4

=====

Question: Which value of electronic total energy does entry 2 give?
Answer: -53.1 eV/cell

=====

Question: Which formula does entry 3 have?
Answer: RbTaClO3